# 1
The following is a DFT calculation (PBE) of LaYSc2Ni after structural relaxation.

Cell and atoms, written as extended XYZ:
```
5
Lattice="-3.091 4.087 1.482 -2.563 -0.507 -3.949 -3.250 -3.380 2.543" Properties=species:S:1:pos:R:3 pbc="T T T"
Sc -1.625 -1.690 1.272
Ni -1.282 -0.253 -1.974
La 0.000 0.000 0.000
Sc -1.546 2.043 0.741
Y -4.452 0.100 0.038
```

Electronic total energy: -26.5 eV for the cell shown
E above lowest polymorph: 763 meV/atom
ΔH_f (0 K): 0.666 eV per atom

***

# 2
The following is a DFT calculation (PBE) of CoPtW after structural relaxation.

Cell and atoms, written as extended XYZ:
```
6
Lattice="-1.556 -0.014 -2.289 -1.583 -1.992 1.089 -6.587 7.656 4.431" Properties=species:S:1:pos:R:3 pbc="T T T"
Pt -5.164 2.942 1.097
W -7.651 5.831 2.768
W -3.993 0.576 1.989
Co -2.981 0.404 -0.372
Pt -6.480 3.466 3.660
Co -2.076 -1.653 0.698
```

Electronic total energy: -52.7 eV for the cell shown
E above lowest polymorph: 83 meV/atom
ΔH_f (0 K): -0.078 eV per atom

***

# 3
The following is a DFT calculation (PBE) of AcPmGe after structural relaxation.

Cell and atoms, written as extended XYZ:
```
6
Lattice="4.677 0.000 0.000 0.000 4.677 0.000 0.000 0.000 8.573" Properties=species:S:1:pos:R:3 pbc="T T T"
Ge 2.338 0.000 6.455
Ac 0.000 2.338 7.356
Ge 0.000 2.338 2.117
Ac 2.338 0.000 1.217
Pm 0.000 0.000 4.286
Pm 2.338 2.338 4.286
```

Electronic total energy: -30.2 eV for the cell shown
E above lowest polymorph: 0 meV/atom
ΔH_f (0 K): -0.544 eV per atom

***

# 4
The following is a DFT calculation (PBE) of BiH2Au after structural relaxation.

Cell and atoms, written as extended XYZ:
```
8
Lattice="5.508 0.000 0.000 0.000 5.508 0.000 2.754 2.754 4.107" Properties=species:S:1:pos:R:3 pbc="T T T"
H 3.195 1.377 1.027
Bi 0.000 0.000 0.000
Au 2.754 5.508 2.054
H 2.313 4.131 1.027
H 6.885 5.949 3.080
Bi 5.508 2.754 2.054
Au 2.754 2.754 0.000
H 4.131 5.067 3.080
```

Electronic total energy: -24.9 eV for the cell shown
E above lowest polymorph: 0 meV/atom

***

# 5
The following is a DFT calculation (PBE) of ThTiNi after structural relaxation.

Cell and atoms, written as extended XYZ:
```
6
Lattice="4.283 0.000 0.000 0.000 4.283 0.000 0.000 0.000 6.630" Properties=species:S:1:pos:R:3 pbc="T T T"
Ni 0.000 2.142 2.056
Th 2.142 0.000 0.852
Ni 2.142 0.000 4.574
Th 0.000 2.142 5.778
Ti 0.000 0.000 3.315
Ti 2.142 2.142 3.315
```

Electronic total energy: -43.7 eV for the cell shown
E above lowest polymorph: 0 meV/atom
ΔH_f (0 K): -0.258 eV per atom